[1]
A plane-wave DFT calculation with PBE was carried out for a geometry-optimized SiBi3Pt structure.

- distance to the lowest polymorph of the same formula (kJ/mol of formula units) = 0
- Fermi-level density of states (states/eV per atom) = 0.57
- total magnetization (μB/cell) = 0.0
- space-group type = No. 221
- crystal system = cubic
- ΔE_f (raw) (eV/atom) = 0.68

Lattice parameters (Å, degrees): 5.422 5.422 5.422 90.00 90.00 90.00
Sites, in units of the cell vectors:
Si 0.000 0.000 0.000
Bi 0.000 0.500 0.500
Bi 0.500 0.000 0.500
Bi 0.500 0.500 0.000
Pt 0.500 0.500 0.500

=====

[2]
A plane-wave DFT calculation with PBE was carried out for a geometry-optimized RbMg2Si2 structure.

- distance to the lowest polymorph of the same formula (kJ/mol of formula units) = 0
- Fermi-level density of states (states/eV per atom) = 0.41
- total magnetization (μB/cell) = 0.0
- space-group type = No. 139
- crystal system = tetragonal
- ΔE_f (raw) (eV/atom) = -0.01

Lattice parameters (Å, degrees): 6.371 6.371 6.371 136.11 136.11 63.82
Sites, in units of the cell vectors:
Rb 0.000 0.000 0.000
Mg 0.250 0.750 0.500
Mg 0.750 0.250 0.500
Si 0.389 0.389 0.000
Si 0.611 0.611 0.000

=====

[3]
A plane-wave DFT calculation with PBE was carried out for a geometry-optimized PmSiBi2 structure.

- Fermi-level density of states (states/eV per atom) = 0.55
- total magnetization (μB/cell) = 0.0
- space-group type = No. 123
- crystal system = tetragonal
- ΔE_f (raw) (eV/atom) = -0.20

Lattice parameters (Å, degrees): 4.562 4.562 5.302 90.00 90.00 90.00
Sites, in units of the cell vectors:
Pm 0.000 0.000 0.000
Si 0.500 0.500 0.000
Bi 0.000 0.500 0.500
Bi 0.500 0.000 0.500

=====

[4]
A plane-wave DFT calculation with PBE was carried out for a geometry-optimized Pr4YTh structure.

- distance to the lowest polymorph of the same formula (kJ/mol of formula units) = 14
- Fermi-level density of states (states/eV per atom) = 1.45
- total magnetization (μB/cell) = 0.0
- space-group type = No. 71
- DFT formation energy (kJ per mole of atoms) = 6.2
- crystal system = orthorhombic

Lattice parameters (Å, degrees): 6.804 6.804 6.804 129.82 116.81 84.76
Sites, in units of the cell vectors:
Pr 0.081 0.833 0.248
Pr 0.415 0.167 0.248
Pr 0.585 0.833 0.752
Pr 0.919 0.167 0.752
Y 0.000 0.500 0.500
Th 0.500 0.500 0.000

=====

[5]
A plane-wave DFT calculation with PBE was carried out for a geometry-optimized Pm3TmHg6 structure.

- distance to the lowest polymorph of the same formula (kJ/mol of formula units) = 667
- Fermi-level density of states (states/eV per atom) = 1.23
- total magnetization (μB/cell) = 0.0
- space-group type = No. 225
- DFT formation energy (kJ per mole of atoms) = 25.6
- crystal system = cubic

Lattice parameters (Å, degrees): 7.871 7.871 7.871 60.00 60.00 60.00
Sites, in units of the cell vectors:
Pm 0.000 0.000 0.000
Pm 0.250 0.250 0.250
Pm 0.750 0.750 0.750
Tm 0.500 0.500 0.500
Hg 0.254 0.254 0.746
Hg 0.254 0.746 0.254
Hg 0.254 0.746 0.746
Hg 0.746 0.254 0.254
Hg 0.746 0.254 0.746
Hg 0.746 0.746 0.254